Crystalline TbTl2 at its relaxed geometry, computed with PBE.

abc: 6.2050 6.2050 6.2050
angles: 60.00 60.00 60.00
Positions (direct):
Tb1 0.1250 0.1250 0.1250
Tb2 0.8750 0.8750 0.8750
Tl1 0.0000 0.5000 0.5000
Tl2 0.5000 0.0000 0.5000
Tl3 0.5000 0.5000 0.0000
Tl4 0.5000 0.5000 0.5000

Properties
The value obtained for the total DFT energy (no corrections) is -3.17 eV per atom. The space group is Fd-3m (227).


Crystalline PrTmRuRh at its relaxed geometry, computed with PBE.

abc: 6.9258 6.9258 6.9258
angles: 90.00 90.00 90.00
Positions (direct):
Pr1 0.0000 0.0000 0.0000
Pr2 0.0000 0.5000 0.5000
Pr3 0.5000 0.0000 0.5000
Pr4 0.5000 0.5000 0.0000
Tm1 0.0000 0.0000 0.5000
Tm2 0.0000 0.5000 0.0000
Tm3 0.5000 0.0000 0.0000
Tm4 0.5000 0.5000 0.5000
Ru1 0.2500 0.2500 0.7500
Ru2 0.2500 0.7500 0.2500
Ru3 0.7500 0.2500 0.2500
Ru4 0.7500 0.7500 0.7500
Rh1 0.2500 0.2500 0.2500
Rh2 0.2500 0.7500 0.7500
Rh3 0.7500 0.2500 0.7500
Rh4 0.7500 0.7500 0.2500

Properties
The value obtained for the total DFT energy (no corrections) is -6.95 eV per atom. The space group is F-43m (216).


Crystalline BaZn2CdCl8 at its relaxed geometry, computed with PBE.

abc: 9.6935 9.6935 9.6935
angles: 38.22 38.22 38.22
Positions (direct):
Ba1 0.0000 0.0000 0.0000
Zn1 0.2463 0.2463 0.2463
Zn2 0.7537 0.7537 0.7537
Cd1 0.5000 0.5000 0.5000
Cl1 0.1142 0.7914 0.4181
Cl2 0.2086 0.5819 0.8858
Cl3 0.3311 0.3311 0.3311
Cl4 0.4181 0.1142 0.7914
Cl5 0.5819 0.8858 0.2086
Cl6 0.6689 0.6689 0.6689
Cl7 0.7914 0.4181 0.1142
Cl8 0.8858 0.2086 0.5819

Properties
The value obtained for the total DFT energy (no corrections) is -3.10 eV per atom. The space group is R-3 (148).


Crystalline Ba9In4H at its relaxed geometry, computed with PBE.

abc: 10.4005 10.4005 10.4005
angles: 94.73 94.73 146.63
Positions (direct):
Ba1 0.0000 0.0000 0.0000
Ba2 0.1139 0.3743 0.4881
Ba3 0.3175 0.6080 0.9255
Ba4 0.3743 0.8861 0.2604
Ba5 0.3920 0.3175 0.7096
Ba6 0.6080 0.6825 0.2904
Ba7 0.6257 0.1139 0.7396
Ba8 0.6825 0.3920 0.0745
Ba9 0.8861 0.6257 0.5119
In1 0.1000 0.7620 0.8620
In2 0.2380 0.1000 0.3380
In3 0.7620 0.9000 0.6620
In4 0.9000 0.2380 0.1380
H1 0.5000 0.5000 0.0000

Properties
The value obtained for the total DFT energy (no corrections) is -2.58 eV per atom. The space group is I4/m (87).


Crystalline NaMn2I6 at its relaxed geometry, computed with PBE.

abc: 7.9021 7.9021 10.5806
angles: 98.50 98.50 35.39
Positions (direct):
Na1 0.0000 0.0000 0.0000
Mn1 0.2525 0.2525 0.6740
Mn2 0.7475 0.7475 0.3260
I1 0.0934 0.0934 0.7420
I2 0.1711 0.1711 0.4053
I3 0.3563 0.3563 0.9010
I4 0.6437 0.6437 0.0990
I5 0.8289 0.8289 0.5947
I6 0.9066 0.9066 0.2580

Properties
The calculation puts the energy relative to the lowest polymorph listed for this composition at 43 meV/atom. The value obtained for the total DFT energy (no corrections) is -3.71 eV per atom. The space group is C2/m (12).


Crystalline MgAlTeF2 at its relaxed geometry, computed with PBE.

abc: 3.8737 3.8737 8.1754
angles: 90.00 90.00 90.00
Positions (direct):
Mg1 0.0000 0.0000 0.0000
Al1 0.0000 0.0000 0.5000
Te1 0.5000 0.5000 0.5000
F1 0.0000 0.5000 0.0000
F2 0.5000 0.0000 0.0000

Properties
The calculation puts the energy relative to the lowest polymorph listed for this composition at 0 meV/atom. The value obtained for the total DFT energy (no corrections) is -4.28 eV per atom. The space group is P4/mmm (123).